(1)
The following is a DFT calculation (PBE) of a relaxed Sm5GaSb2 crystal.

Calculated values
Calculated density in g/cm3: 6.32
Energy relative to the elements, uncorrected in meV per atom: -413
Energy in eV per formula unit: -38.17

a = 6.084 Å, b = 12.902 Å, c = 14.249 Å
α = 90.00°, β = 90.00°, γ = 90.00°
Space group Cmcm (No. 63)
Inequivalent atoms, fractional coordinates:
Sm  0.000  0.060  0.117 x8
Sm  0.000  0.314  0.750 x4
Sm  0.000  0.362  0.069 x8
Ga  0.000  0.235  0.250 x4
Sb  0.000  0.176  0.575 x8


(2)
The following is a DFT calculation (PBE) of a relaxed SmGaSb2 crystal.

Calculated values
Calculated density in g/cm3: 6.44
Energy above the most stable polymorph in this dataset in kcal/mol of atoms: 5.89
Energy relative to the elements, uncorrected in meV per atom: -375
Energy in eV per formula unit: -17.49

a = 4.304 Å, b = 4.304 Å, c = 6.458 Å
α = 90.00°, β = 90.00°, γ = 90.00°
Space group P4/mmm (No. 123)
Inequivalent atoms, fractional coordinates:
Sm  0.000  0.000  0.000 x1
Ga  0.500  0.500  0.500 x1
Sb  0.000  0.000  0.500 x1
Sb  0.500  0.500  0.000 x1


(3)
The following is a DFT calculation (PBE) of a relaxed SmGaSb2 crystal.

Calculated values
Calculated density in g/cm3: 7.23
Energy above the most stable polymorph in this dataset in kcal/mol of atoms: 0.00
Energy relative to the elements, uncorrected in meV per atom: -630
Energy in eV per formula unit: -18.51

a = 4.343 Å, b = 22.325 Å, c = 4.390 Å
α = 90.00°, β = 90.00°, γ = 90.00°
Space group C222_1 (No. 20)
Inequivalent atoms, fractional coordinates:
Sm  0.000  0.138  0.250 x4
Ga  0.158  0.000  0.000 x4
Sb  0.000  0.250  0.750 x4
Sb  0.000  0.407  0.250 x4


(4)
The following is a DFT calculation (PBE) of a relaxed SmGaSb2 crystal.

Calculated values
Calculated density in g/cm3: 6.77
Energy above the most stable polymorph in this dataset in kcal/mol of atoms: 6.83
Energy relative to the elements, uncorrected in meV per atom: -334
Energy in eV per formula unit: -17.33

a = 4.1734 Å, b = 4.1734 Å, c = 22.6246 Å
α = 90.00°, β = 90.00°, γ = 120.00°
Space group R-3m (No. 166, hexagonal axes)
Inequivalent atoms, fractional coordinates:
Sm  0.0000  0.0000  0.0000 x3
Ga  0.0000  0.0000  0.5000 x3
Sb  0.0000  0.0000  0.2417 x6


(5)
The following is a DFT calculation (PBE) of a relaxed Sm4Ga2Sb crystal.

Calculated values
Calculated density in g/cm3: 7.29
Energy relative to the elements, uncorrected in meV per atom: -660
Energy in eV per formula unit: -33.68

a = 9.237 Å, b = 9.237 Å, c = 9.207 Å
α = 90.00°, β = 90.00°, γ = 90.00°
Space group I-42d (No. 122)
Inequivalent atoms, fractional coordinates:
Sm  0.071  0.676  0.439 x16
Ga  0.127  0.750  0.125 x8
Sb  0.000  0.000  0.500 x4


(6)
The following is a DFT calculation (PBE) of a relaxed Sm8GaSb3Te4 crystal.

Calculated values
Calculated density in g/cm3: 7.18
Energy relative to the elements, uncorrected in meV per atom: -1253
Energy in eV per formula unit: -85.76

a = 8.8807 Å, b = 8.8807 Å, c = 21.8258 Å
α = 90.00°, β = 90.00°, γ = 120.00°
Space group R-3m (No. 166, hexagonal axes)
Inequivalent atoms, fractional coordinates:
Sm  0.0000  0.0000  0.2466 x6
Sm  0.0111  0.5056  0.2448 x18
Ga  0.0000  0.0000  0.5000 x3
Sb  0.0000  0.5000  0.5000 x9
Te  0.0000  0.0000  0.0000 x3
Te  0.0000  0.5000  0.0000 x9


(7)
The following is a DFT calculation (PBE) of a relaxed Sm4GaSbTe2 crystal.

Calculated values
Calculated density in g/cm3: 7.13
Energy relative to the elements, uncorrected in meV per atom: -1158
Energy in eV per formula unit: -41.57

a = 7.690 Å, b = 4.339 Å, c = 7.725 Å
α = 90.00°, β = 108.61°, γ = 90.00°
Space group P2/m (No. 10)
Inequivalent atoms, fractional coordinates:
Sm  0.238  0.000  0.234 x2
Sm  0.245  0.500  0.765 x2
Ga  0.000  0.500  0.000 x1
Sb  0.500  0.000  0.000 x1
Te  0.000  0.000  0.500 x1
Te  0.500  0.500  0.500 x1


(8)
The following is a DFT calculation (PBE) of a relaxed GaSnSb2 crystal.

Calculated values
Calculated density in g/cm3: 5.62
Energy above the most stable polymorph in this dataset in kcal/mol of atoms: 0.00
Energy relative to the elements, uncorrected in meV per atom: 12
Energy in eV per formula unit: -15.22

a = 7.186 Å, b = 4.274 Å, c = 16.634 Å
α = 90.00°, β = 90.00°, γ = 90.00°
Space group Pnma (No. 62)
Inequivalent atoms, fractional coordinates:
Ga  0.203  0.250  0.172 x4
Sn  0.212  0.750  0.433 x4
Sb  0.170  0.750  0.824 x4
Sb  0.193  0.250  0.582 x4